Here is Co3Ir after structural relaxation from Alexandria. Energies are from PBE-GGA.

Output
The calculation puts the formation energy from the elements at 0.03 eV per atom. The total energy is -30.0 eV per formula unit.

Structure (CIF):
```
data_Co3Ir
_chemical_formula_sum 'Co6 Ir2'
_symmetry_space_group_name_H-M 'C m m m'
_symmetry_Int_Tables_number 65
_symmetry_space_group_name_Hall '-C 2 2'
_cell_length_a 5.1764
_cell_length_b 7.1702
_cell_length_c 2.6001
_cell_angle_alpha 90.00
_cell_angle_beta 90.00
_cell_angle_gamma 90.00
loop_
_atom_site_label
_atom_site_type_symbol
_atom_site_fract_x
_atom_site_fract_y
_atom_site_fract_z
Co1 Co 0.0000 0.0000 0.0000
Co2 Co 0.2500 0.2500 0.5000
Ir1 Ir 0.0000 0.5000 0.0000
```